# Sm2HoLu | Alexandria | PBE | relaxed
data_Sm2HoLu
_chemical_formula_sum 'Sm2 Ho1 Lu1'
_cell_length_a 4.9856
_cell_length_b 5.0554
_cell_length_c 5.0554
_cell_angle_alpha 90.00
_cell_angle_beta 90.00
_cell_angle_gamma 90.00
_space_group_name_H-M_alt 'P 1'
_space_group_IT_number 1
loop_
_space_group_symop_operation_xyz
'x,y,z'
loop_
_atom_site_label
_atom_site_type_symbol
_atom_site_fract_x
_atom_site_fract_y
_atom_site_fract_z
Sm1 Sm 0.0000 0.0000 0.5000
Sm2 Sm 0.0000 0.5000 0.0000
Ho1 Ho 0.5000 0.5000 0.5000
Lu1 Lu 0.5000 0.0000 0.0000
# - offset from the most stable computed form (meV/atom) = 3
# - SG = P4/mmm, No. 123



# SmHoLu | Alexandria | PBE | relaxed
data_SmHoLu
_chemical_formula_sum 'Sm1 Ho1 Lu1'
_cell_length_a 3.5342
_cell_length_b 3.5342
_cell_length_c 7.9240
_cell_angle_alpha 102.89
_cell_angle_beta 102.89
_cell_angle_gamma 90.00
_space_group_name_H-M_alt 'P 1'
_space_group_IT_number 1
loop_
_space_group_symop_operation_xyz
'x,y,z'
loop_
_atom_site_label
_atom_site_type_symbol
_atom_site_fract_x
_atom_site_fract_y
_atom_site_fract_z
Lu1 Lu 0.6679 0.6679 0.3358
Ho1 Ho 0.3313 0.3313 0.6627
Sm1 Sm 0.0008 0.0008 0.0015
# - SG = I4mm, No. 107



# Sm2HoLu | Alexandria | PBE | relaxed
data_Sm2HoLu
_chemical_formula_sum 'Sm2 Ho1 Lu1'
_cell_length_a 3.5642
_cell_length_b 3.5642
_cell_length_c 11.7121
_cell_angle_alpha 81.25
_cell_angle_beta 81.25
_cell_angle_gamma 60.00
_space_group_name_H-M_alt 'P 1'
_space_group_IT_number 1
loop_
_space_group_symop_operation_xyz
'x,y,z'
loop_
_atom_site_label
_atom_site_type_symbol
_atom_site_fract_x
_atom_site_fract_y
_atom_site_fract_z
Lu1 Lu 0.5000 0.5000 0.5000
Sm1 Sm 0.7507 0.7507 0.7480
Sm2 Sm 0.2493 0.2493 0.2520
Ho1 Ho 0.0000 0.0000 0.0000
# - offset from the most stable computed form (meV/atom) = 0
# - SG = R-3m, No. 166



# Sm2HoLu | Alexandria | PBE | relaxed
data_Sm2HoLu
_chemical_formula_sum 'Sm2 Ho1 Lu1'
_cell_length_a 3.5663
_cell_length_b 3.5663
_cell_length_c 10.0201
_cell_angle_alpha 90.00
_cell_angle_beta 90.00
_cell_angle_gamma 90.00
_space_group_name_H-M_alt 'P 1'
_space_group_IT_number 1
loop_
_space_group_symop_operation_xyz
'x,y,z'
loop_
_atom_site_label
_atom_site_type_symbol
_atom_site_fract_x
_atom_site_fract_y
_atom_site_fract_z
Sm1 Sm 0.0000 0.0000 0.7523
Sm2 Sm 0.0000 0.0000 0.2477
Ho1 Ho 0.5000 0.5000 0.5000
Lu1 Lu 0.5000 0.5000 0.0000
# - offset from the most stable computed form (meV/atom) = 4
# - SG = P4/mmm, No. 123



# SmHoLuTl | Alexandria | PBE | relaxed
data_SmHoLuTl
_chemical_formula_sum 'Sm1 Ho1 Lu1 Tl1'
_cell_length_a 5.4642
_cell_length_b 5.4642
_cell_length_c 5.4642
_cell_angle_alpha 60.00
_cell_angle_beta 60.00
_cell_angle_gamma 60.00
_space_group_name_H-M_alt 'P 1'
_space_group_IT_number 1
loop_
_space_group_symop_operation_xyz
'x,y,z'
loop_
_atom_site_label
_atom_site_type_symbol
_atom_site_fract_x
_atom_site_fract_y
_atom_site_fract_z
Lu1 Lu 0.5000 0.5000 0.5000
Sm1 Sm 0.7500 0.7500 0.7500
Tl1 Tl 0.0000 0.0000 0.0000
Ho1 Ho 0.2500 0.2500 0.2500
# - SG = F-43m, No. 216



# SmHoTmLu | Alexandria | PBE | relaxed
data_SmHoTmLu
_chemical_formula_sum 'Sm1 Ho1 Tm1 Lu1'
_cell_length_a 5.6190
_cell_length_b 5.6190
_cell_length_c 5.6190
_cell_angle_alpha 60.00
_cell_angle_beta 60.00
_cell_angle_gamma 60.00
_space_group_name_H-M_alt 'P 1'
_space_group_IT_number 1
loop_
_space_group_symop_operation_xyz
'x,y,z'
loop_
_atom_site_label
_atom_site_type_symbol
_atom_site_fract_x
_atom_site_fract_y
_atom_site_fract_z
Sm1 Sm 0.2500 0.2500 0.2500
Tm1 Tm 0.5000 0.5000 0.5000
Lu1 Lu 0.0000 0.0000 0.0000
Ho1 Ho 0.7500 0.7500 0.7500
# - SG = F-43m, No. 216



# HoLuSn2 | Alexandria | PBE | relaxed
data_HoLuSn2
_chemical_formula_sum 'Ho1 Lu1 Sn2'
_cell_length_a 4.3227
_cell_length_b 4.8904
_cell_length_c 4.8904
_cell_angle_alpha 90.00
_cell_angle_beta 90.00
_cell_angle_gamma 90.00
_space_group_name_H-M_alt 'P 1'
_space_group_IT_number 1
loop_
_space_group_symop_operation_xyz
'x,y,z'
loop_
_atom_site_label
_atom_site_type_symbol
_atom_site_fract_x
_atom_site_fract_y
_atom_site_fract_z
Sn1 Sn 0.0000 0.5000 0.0000
Sn2 Sn 0.0000 0.0000 0.5000
Lu1 Lu 0.5000 0.0000 0.0000
Ho1 Ho 0.5000 0.5000 0.5000
# - SG = P4/mmm, No. 123



# HoLuSn2 | Alexandria | PBE | relaxed
data_HoLuSn2
_chemical_formula_sum 'Ho1 Lu1 Sn2'
_cell_length_a 3.7548
_cell_length_b 3.7548
_cell_length_c 9.2850
_cell_angle_alpha 78.33
_cell_angle_beta 78.33
_cell_angle_gamma 60.00
_space_group_name_H-M_alt 'P 1'
_space_group_IT_number 1
loop_
_space_group_symop_operation_xyz
'x,y,z'
loop_
_atom_site_label
_atom_site_type_symbol
_atom_site_fract_x
_atom_site_fract_y
_atom_site_fract_z
Ho1 Ho 0.0000 0.0000 0.0000
Sn1 Sn 0.2490 0.2490 0.2531
Sn2 Sn 0.7510 0.7510 0.7469
Lu1 Lu 0.5000 0.5000 0.5000
# - SG = R-3m, No. 166



# Ho2LuSn | Alexandria | PBE | relaxed
data_Ho2LuSn
_chemical_formula_sum 'Ho2 Lu1 Sn1'
_cell_length_a 4.7756
_cell_length_b 4.7574
_cell_length_c 4.7574
_cell_angle_alpha 90.00
_cell_angle_beta 90.00
_cell_angle_gamma 90.00
_space_group_name_H-M_alt 'P 1'
_space_group_IT_number 1
loop_
_space_group_symop_operation_xyz
'x,y,z'
loop_
_atom_site_label
_atom_site_type_symbol
_atom_site_fract_x
_atom_site_fract_y
_atom_site_fract_z
Ho1 Ho 0.0000 0.0000 0.5000
Ho2 Ho 0.0000 0.5000 0.0000
Lu1 Lu 0.5000 0.5000 0.5000
Sn1 Sn 0.5000 0.0000 0.0000
# - offset from the most stable computed form (meV/atom) = 0
# - SG = P4/mmm, No. 123



# HoLuSn2 | Alexandria | PBE | relaxed
data_HoLuSn2
_chemical_formula_sum 'Ho1 Lu1 Sn2'
_cell_length_a 3.4477
_cell_length_b 3.4477
_cell_length_c 8.6807
_cell_angle_alpha 90.00
_cell_angle_beta 90.00
_cell_angle_gamma 90.00
_space_group_name_H-M_alt 'P 1'
_space_group_IT_number 1
loop_
_space_group_symop_operation_xyz
'x,y,z'
loop_
_atom_site_label
_atom_site_type_symbol
_atom_site_fract_x
_atom_site_fract_y
_atom_site_fract_z
Ho1 Ho 0.5000 0.5000 0.5000
Lu1 Lu 0.5000 0.5000 0.0000
Sn1 Sn 0.0000 0.0000 0.7535
Sn2 Sn 0.0000 0.0000 0.2465
# - SG = P4/mmm, No. 123



# Ho2LuSn | Alexandria | PBE | relaxed
data_Ho2LuSn
_chemical_formula_sum 'Ho2 Lu1 Sn1'
_cell_length_a 3.4744
_cell_length_b 3.4744
_cell_length_c 11.9621
_cell_angle_alpha 81.65
_cell_angle_beta 81.65
_cell_angle_gamma 60.00
_space_group_name_H-M_alt 'P 1'
_space_group_IT_number 1
loop_
_space_group_symop_operation_xyz
'x,y,z'
loop_
_atom_site_label
_atom_site_type_symbol
_atom_site_fract_x
_atom_site_fract_y
_atom_site_fract_z
Lu1 Lu 0.5000 0.5000 0.5000
Ho1 Ho 0.9121 0.9121 0.2637
Ho2 Ho 0.0879 0.0879 0.7363
Sn1 Sn 0.0000 0.0000 0.0000
# - offset from the most stable computed form (meV/atom) = 442
# - SG = R-3m, No. 166



# TbHoLuSn | Alexandria | PBE | relaxed
data_TbHoLuSn
_chemical_formula_sum 'Tb1 Ho1 Lu1 Sn1'
_cell_length_a 5.3657
_cell_length_b 5.3657
_cell_length_c 5.3657
_cell_angle_alpha 60.00
_cell_angle_beta 60.00
_cell_angle_gamma 60.00
_space_group_name_H-M_alt 'P 1'
_space_group_IT_number 1
loop_
_space_group_symop_operation_xyz
'x,y,z'
loop_
_atom_site_label
_atom_site_type_symbol
_atom_site_fract_x
_atom_site_fract_y
_atom_site_fract_z
Lu1 Lu 0.7500 0.7500 0.7500
Ho1 Ho 0.0000 0.0000 0.0000
Tb1 Tb 0.5000 0.5000 0.5000
Sn1 Sn 0.2500 0.2500 0.2500
# - SG = F-43m, No. 216



# HoLuZnSn | Alexandria | PBE | relaxed
data_HoLuZnSn
_chemical_formula_sum 'Ho1 Lu1 Zn1 Sn1'
_cell_length_a 5.1251
_cell_length_b 5.1251
_cell_length_c 5.1251
_cell_angle_alpha 60.00
_cell_angle_beta 60.00
_cell_angle_gamma 60.00
_space_group_name_H-M_alt 'P 1'
_space_group_IT_number 1
loop_
_space_group_symop_operation_xyz
'x,y,z'
loop_
_atom_site_label
_atom_site_type_symbol
_atom_site_fract_x
_atom_site_fract_y
_atom_site_fract_z
Ho1 Ho 0.5000 0.5000 0.5000
Lu1 Lu 0.0000 0.0000 0.0000
Zn1 Zn 0.2500 0.2500 0.2500
Sn1 Sn 0.7500 0.7500 0.7500
# - SG = F-43m, No. 216



# SrHo2Lu | Alexandria | PBE | relaxed
data_SrHo2Lu
_chemical_formula_sum 'Sr1 Ho2 Lu1'
_cell_length_a 3.9708
_cell_length_b 3.9708
_cell_length_c 9.1572
_cell_angle_alpha 90.00
_cell_angle_beta 90.00
_cell_angle_gamma 90.00
_space_group_name_H-M_alt 'P 1'
_space_group_IT_number 1
loop_
_space_group_symop_operation_xyz
'x,y,z'
loop_
_atom_site_label
_atom_site_type_symbol
_atom_site_fract_x
_atom_site_fract_y
_atom_site_fract_z
Lu1 Lu 0.5000 0.5000 0.0000
Ho1 Ho 0.0000 0.0000 0.1996
Ho2 Ho 0.0000 0.0000 0.8004
Sr1 Sr 0.5000 0.5000 0.5000
# - offset from the most stable computed form (meV/atom) = 0
# - SG = P4/mmm, No. 123



# SrHo2Lu | Alexandria | PBE | relaxed
data_SrHo2Lu
_chemical_formula_sum 'Sr1 Ho2 Lu1'
_cell_length_a 3.5694
_cell_length_b 3.5694
_cell_length_c 12.8235
_cell_angle_alpha 82.00
_cell_angle_beta 82.00
_cell_angle_gamma 60.00
_space_group_name_H-M_alt 'P 1'
_space_group_IT_number 1
loop_
_space_group_symop_operation_xyz
'x,y,z'
loop_
_atom_site_label
_atom_site_type_symbol
_atom_site_fract_x
_atom_site_fract_y
_atom_site_fract_z
Ho1 Ho 0.9060 0.9060 0.2820
Ho2 Ho 0.0940 0.0940 0.7180
Lu1 Lu 0.5000 0.5000 0.5000
Sr1 Sr 0.0000 0.0000 0.0000
# - offset from the most stable computed form (meV/atom) = 93
# - SG = R-3m, No. 166



# SrHoLu2 | Alexandria | PBE | relaxed
data_SrHoLu2
_chemical_formula_sum 'Sr1 Ho1 Lu2'
_cell_length_a 3.6290
_cell_length_b 3.6290
_cell_length_c 10.4536
_cell_angle_alpha 90.00
_cell_angle_beta 90.00
_cell_angle_gamma 90.00
_space_group_name_H-M_alt 'P 1'
_space_group_IT_number 1
loop_
_space_group_symop_operation_xyz
'x,y,z'
loop_
_atom_site_label
_atom_site_type_symbol
_atom_site_fract_x
_atom_site_fract_y
_atom_site_fract_z
Lu1 Lu 0.0000 0.0000 0.2182
Lu2 Lu 0.0000 0.0000 0.7818
Sr1 Sr 0.5000 0.5000 0.5000
Ho1 Ho 0.5000 0.5000 0.0000
# - offset from the most stable computed form (meV/atom) = 0
# - SG = P4/mmm, No. 123



# SrHoLu | Alexandria | PBE | relaxed
data_SrHoLu
_chemical_formula_sum 'Sr1 Ho1 Lu1'
_cell_length_a 3.6972
_cell_length_b 3.6972
_cell_length_c 8.3451
_cell_angle_alpha 102.80
_cell_angle_beta 102.80
_cell_angle_gamma 90.00
_space_group_name_H-M_alt 'P 1'
_space_group_IT_number 1
loop_
_space_group_symop_operation_xyz
'x,y,z'
loop_
_atom_site_label
_atom_site_type_symbol
_atom_site_fract_x
_atom_site_fract_y
_atom_site_fract_z
Lu1 Lu 0.6812 0.6812 0.3625
Sr1 Sr 0.0007 0.0007 0.0013
Ho1 Ho 0.3181 0.3181 0.6362
# - SG = I4mm, No. 107



# SrHoLu2 | Alexandria | PBE | relaxed
data_SrHoLu2
_chemical_formula_sum 'Sr1 Ho1 Lu2'
_cell_length_a 3.5520
_cell_length_b 3.5520
_cell_length_c 12.7480
_cell_angle_alpha 81.99
_cell_angle_beta 81.99
_cell_angle_gamma 60.00
_space_group_name_H-M_alt 'P 1'
_space_group_IT_number 1
loop_
_space_group_symop_operation_xyz
'x,y,z'
loop_
_atom_site_label
_atom_site_type_symbol
_atom_site_fract_x
_atom_site_fract_y
_atom_site_fract_z
Lu1 Lu 0.9065 0.9065 0.2805
Lu2 Lu 0.0935 0.0935 0.7195
Ho1 Ho 0.5000 0.5000 0.5000
Sr1 Sr 0.0000 0.0000 0.0000
# - offset from the most stable computed form (meV/atom) = 106
# - SG = R-3m, No. 166



# TbHoLu2 | Alexandria | PBE | relaxed
data_TbHoLu2
_chemical_formula_sum 'Tb1 Ho1 Lu2'
_cell_length_a 5.5755
_cell_length_b 5.5755
_cell_length_c 5.5755
_cell_angle_alpha 60.00
_cell_angle_beta 60.00
_cell_angle_gamma 60.00
_space_group_name_H-M_alt 'P 1'
_space_group_IT_number 1
loop_
_space_group_symop_operation_xyz
'x,y,z'
loop_
_atom_site_label
_atom_site_type_symbol
_atom_site_fract_x
_atom_site_fract_y
_atom_site_fract_z
Tb1 Tb 0.5000 0.5000 0.5000
Lu1 Lu 0.7500 0.7500 0.7500
Lu2 Lu 0.2500 0.2500 0.2500
Ho1 Ho 0.0000 0.0000 0.0000
# - offset from the most stable computed form (meV/atom) = 89
# - SG = Fm-3m, No. 225



# TbHoLu2 | Alexandria | PBE | relaxed
data_TbHoLu2
_chemical_formula_sum 'Tb1 Ho1 Lu2'
_cell_length_a 3.4980
_cell_length_b 3.4980
_cell_length_c 11.5299
_cell_angle_alpha 81.27
_cell_angle_beta 81.27
_cell_angle_gamma 60.00
_space_group_name_H-M_alt 'P 1'
_space_group_IT_number 1
loop_
_space_group_symop_operation_xyz
'x,y,z'
loop_
_atom_site_label
_atom_site_type_symbol
_atom_site_fract_x
_atom_site_fract_y
_atom_site_fract_z
Lu1 Lu 0.7497 0.7497 0.7509
Lu2 Lu 0.2503 0.2503 0.2491
Ho1 Ho 0.0000 0.0000 0.0000
Tb1 Tb 0.5000 0.5000 0.5000
# - offset from the most stable computed form (meV/atom) = 1
# - SG = R-3m, No. 166



Energy of formation from the pure elements list, top to bottom, in eV/atom: 0.02; 0.03; 0.02; 0.02; -0.05; 0.11; -0.56; -0.49; -0.40; -0.58; 0.05; -0.23; -0.46; 0.15; 0.24; 0.15; 0.16; 0.26; 0.12; 0.03